No. 1
Tb5CeY4 | PBE | relaxed

Computed properties:
E_tot ... -5.401 eV/atom
Formation energy from the elements ... 0.9 eV/f.u.
Total moment ... 0.142 μB/atom
Relative energy among the computed polymorphs ... 0 meV per atom

Cell and atoms, written as POSCAR:
```
Tb5CeY4
1.0
-2.1822 -2.9478 0.2705
5.3380 -4.3495 -4.3355
5.2734 -0.7121 9.7826
Tb Y Ce
5 4 1
direct
0.0958 0.7602 0.1917 Tb
0.9042 0.2398 0.8083 Tb
0.7161 0.6399 0.4322 Tb
0.5000 0.5000 0.0000 Tb
0.2839 0.3601 0.5678 Tb
0.1114 0.3300 0.2227 Y
0.3127 0.9455 0.6254 Y
0.6873 0.0545 0.3746 Y
0.8886 0.6700 0.7773 Y
0.5000 0.0000 0.0000 Ce
```



No. 2
Tb4CeY6 | PBE | relaxed

Computed properties:
E_tot ... -5.607 eV/atom
Formation energy from the elements ... 1.6 eV/f.u.
Total moment ... 0.079 μB/atom

Cell and atoms, written as POSCAR:
```
Tb4CeY6
1.0
-0.7931 2.2744 5.2043
-3.3631 -4.0816 -1.8883
15.8042 -17.7191 10.1520
Y Ce Tb
12 2 8
direct
0.1460 0.2921 0.1812 Y
0.4833 0.9665 0.2500 Y
0.5000 0.0000 0.0000 Y
0.1860 0.3720 0.8978 Y
0.8540 0.7079 0.6812 Y
0.1460 0.2921 0.3188 Y
0.5000 0.0000 0.5000 Y
0.8140 0.6280 0.1022 Y
0.1860 0.3720 0.6022 Y
0.8140 0.6280 0.3978 Y
0.8540 0.7079 0.8188 Y
0.5167 0.0335 0.7500 Y
0.1833 0.3666 0.7500 Ce
0.8167 0.6334 0.2500 Ce
0.8410 0.6820 0.9583 Tb
0.1590 0.3180 0.0417 Tb
0.1590 0.3180 0.4583 Tb
0.4744 0.9488 0.1217 Tb
0.5256 0.0512 0.6217 Tb
0.4744 0.9488 0.3783 Tb
0.5256 0.0512 0.8783 Tb
0.8410 0.6820 0.5417 Tb
```



Q: What is the formation energy from the elements in the first record?
A: 0.9 eV/f.u.



Q: Which formula does entry 1 have?
A: Tb5CeY4



Q: formation energy from the elements of number 2 (Tb4CeY6)?
A: 1.6 eV/f.u.